1.
The following is a DFT calculation (PBE) of CoSbAs2 after structural relaxation.

Summary:
The calculated density comes out at 7.11 g cm⁻³. The calculation puts the volume at 77.2 Å³/cell. The density of states at the Fermi level comes out at 3.17 states/eV/cell. The total energy comes out at -5.061 eV per atom. Its formation energy without anion corrections is 0.07 eV/atom.

Cell and atoms, written as POSCAR:
```
CoSbAs2
1.0
1.6819 0.9711 7.8767
-1.6819 0.9711 7.8767
0.0000 -1.9421 7.8767
Co Sb As
1 1 2
Direct
0.0000 0.0000 0.0000
0.5000 0.5000 0.5000
0.2758 0.2758 0.2758
0.7242 0.7242 0.7242
```

---

2.
The following is a DFT calculation (PBE) of U3P2S after structural relaxation.

Summary:
The calculated density comes out at 10.59 g cm⁻³. The calculation puts the volume at 253.4 Å³/cell. The density of states at the Fermi level comes out at 27.87 states/eV/cell. The total energy comes out at -9.252 eV per atom. Its formation energy without anion corrections is -1.12 eV/atom. For the energy above the lowest structure with this stoichiometry, the calculation gives 0 meV per atom.

Cell and atoms, written as POSCAR:
```
U3P2S
1.0
3.3644 -5.8474 0.0000
3.3644 5.8474 0.0000
-2.2619 0.0000 6.4412
U P S
6 4 2
Direct
0.0000 0.5000 0.0000
0.1658 0.3319 0.4992
0.3319 0.1658 0.9992
0.5000 0.0000 0.5000
0.6681 0.8342 0.0008
0.8342 0.6681 0.5008
0.2509 0.7491 0.7500
0.4168 0.5832 0.2500
0.5832 0.4168 0.7500
0.7491 0.2509 0.2500
0.0845 0.9155 0.2500
0.9155 0.0845 0.7500
```

---

3.
The following is a DFT calculation (PBE) of Sc2InSe after structural relaxation.

Summary:
The calculated density comes out at 5.53 g cm⁻³. The calculation puts the volume at 85.3 Å³/cell. The density of states at the Fermi level comes out at 3.61 states/eV/cell. The total energy comes out at -5.538 eV per atom. Its formation energy without anion corrections is -0.82 eV/atom. For the energy above the lowest structure with this stoichiometry, the calculation gives 170 meV per atom.

Cell and atoms, written as POSCAR:
```
Sc2InSe
1.0
3.3144 0.0000 0.0000
0.0000 3.3274 0.0000
-0.0090 0.0000 7.7303
Sc In Se
2 1 1
Direct
0.0009 0.0000 0.2804
0.9991 0.0000 0.7196
0.5000 0.5000 0.0000
0.5000 0.5000 0.5000
```

---

4.
The following is a DFT calculation (PBE) of Pm4TlAu5 after structural relaxation.

Summary:
The calculated density comes out at 11.79 g cm⁻³. The calculation puts the volume at 249.1 Å³/cell. The density of states at the Fermi level comes out at 5.47 states/eV/cell. The total energy comes out at -4.450 eV per atom. The formation energy is -0.67 eV/atom.

Cell and atoms, written as POSCAR:
```
Pm4TlAu5
1.0
3.7195 0.0000 0.0000
0.0000 3.7195 0.0000
0.0000 0.0000 18.0056
Pm Tl Au
4 1 5
Direct
0.0000 0.0000 0.1022
0.0000 0.0000 0.3078
0.0000 0.0000 0.6922
0.0000 0.0000 0.8978
0.0000 0.0000 0.5000
0.5000 0.5000 0.0000
0.5000 0.5000 0.2022
0.5000 0.5000 0.3946
0.5000 0.5000 0.6054
0.5000 0.5000 0.7978
```

---

5.
The following is a DFT calculation (PBE) of CaGaTeN2 after structural relaxation.

Summary:
The calculated density comes out at 3.24 g cm⁻³. The calculation puts the volume at 136.2 Å³/cell. The density of states at the Fermi level comes out at 2.76 states/eV/cell. The total energy comes out at -3.833 eV per atom. Its formation energy without anion corrections is 1.13 eV/atom. For the energy above the lowest structure with this stoichiometry, the calculation gives 537 meV per atom.

Cell and atoms, written as POSCAR:
```
CaGaTeN2
1.0
4.6058 0.0000 0.0000
0.0000 4.6058 0.0000
0.0000 0.0000 6.4202
Ca Ga Te N
1 1 1 2
Direct
0.0000 0.0000 0.0000
0.5000 0.5000 0.5000
0.0000 0.0000 0.5000
0.0000 0.5000 0.0000
0.5000 0.0000 0.0000
```

---

6.
The following is a DFT calculation (PBE) of HoPaSn after structural relaxation.

Summary:
The calculated density comes out at 11.20 g cm⁻³. The calculation puts the volume at 76.3 Å³/cell. The density of states at the Fermi level comes out at 6.05 states/eV/cell. The total energy comes out at -5.886 eV per atom. The formation energy is 0.14 eV/atom. For the energy above the lowest structure with this stoichiometry, the calculation gives 277 meV per atom.

Cell and atoms, written as POSCAR:
```
HoPaSn
1.0
5.2746 0.0000 0.0000
-2.6373 4.5679 0.0000
0.0000 0.0000 3.1683
Ho Pa Sn
1 1 1
Direct
0.0000 0.0000 0.0000
0.6667 0.3333 0.0033
0.3333 0.6667 0.5020
```